# TiCo2Os2 PBE optimized geometry
data_TiCo2Os2
_chemical_formula_sum 'Ti2 Co4 Os4'
_space_group_name_H-M_alt 'P 4/m b m'
_space_group_IT_number 127
_space_group_name_Hall '-P 4 2ab'
_cell_length_a 7.194
_cell_length_b 7.194
_cell_length_c 2.638
_cell_angle_alpha 90.00
_cell_angle_beta 90.00
_cell_angle_gamma 90.00
loop_
_atom_site_label
_atom_site_fract_x
_atom_site_fract_y
_atom_site_fract_z
_atom_site_occupancy
Ti1 0.000 0.000 0.000 1
Co1 0.170 0.330 0.500 1
Os1 0.127 0.627 0.000 1
# **Calculated formation energy**: 0.10 eV/atom
# **Excess energy over the best structure of this formula in the dataset**: 0.0914 eV/atom
# **VASP energy**: -8.8113 eV per atom